VASP calculation (GGA+U) on a geometry-optimized Rb2NbMoF6 structure.

Computed properties:
calculated total energy = -52.214 eV per cell
space group = I4/mmm

POSCAR file:
```
Rb2NbMoF6
1.0
-3.169 3.169 4.415
3.169 -3.169 4.415
3.169 3.169 -4.415
Rb Nb Mo F
2 1 1 6
direct
0.250 0.750 0.500
0.750 0.250 0.500
0.000 0.000 0.000
0.500 0.500 0.000
0.249 0.249 0.497
0.249 0.751 0.000
0.255 0.255 0.000
0.745 0.745 0.000
0.751 0.249 0.000
0.751 0.751 0.503
```